Version one
# GGA-PBE CsSi2HF, relaxed
# M_tot, μB per formula unit: 0.000
data_CsSi2HF
_space_group_name_H-M_alt 'P 1'
_space_group_IT_number 1
_cell_length_a 3.8533
_cell_length_b 8.5935
_cell_length_c 3.8533
_cell_angle_alpha 90.00
_cell_angle_beta 90.00
_cell_angle_gamma 90.00
loop_
_space_group_symop_operation_xyz
'x,y,z'
loop_
_atom_site_label
_atom_site_type_symbol
_atom_site_fract_x
_atom_site_fract_y
_atom_site_fract_z
H1 H 0.0000 0.0000 0.0000
Cs1 Cs 0.5000 0.5000 0.5000
Si1 Si 0.0000 0.0000 0.5000
F1 F 0.0000 0.5000 0.0000
Si2 Si 0.5000 0.0000 0.0000

Version two
# GGA-PBE CsSi2HF, relaxed
# M_tot, μB per formula unit: 0.000
data_CsSi2HF
_space_group_name_H-M_alt 'P 1'
_space_group_IT_number 1
_cell_length_a 6.1687
_cell_length_b 3.9994
_cell_length_c 6.1687
_cell_angle_alpha 90.00
_cell_angle_beta 90.00
_cell_angle_gamma 90.00
loop_
_space_group_symop_operation_xyz
'x,y,z'
loop_
_atom_site_label
_atom_site_type_symbol
_atom_site_fract_x
_atom_site_fract_y
_atom_site_fract_z
Cs1 Cs 0.0000 0.0000 0.0000
H1 H 0.0000 0.5000 0.0000
Si1 Si 0.0000 0.0000 0.5000
F1 F 0.5000 0.5000 0.5000
Si2 Si 0.5000 0.0000 0.0000

The most stable of them is version one.

Version one
# GGA-PBE Cs2TaTiHF, relaxed
# M_tot, μB per formula unit: 1.168
data_Cs2TaTiHF
_space_group_name_H-M_alt 'P 1'
_space_group_IT_number 1
_cell_length_a 3.3719
_cell_length_b 7.6406
_cell_length_c 7.6153
_cell_angle_alpha 68.43
_cell_angle_beta 78.03
_cell_angle_gamma 78.36
loop_
_space_group_symop_operation_xyz
'x,y,z'
loop_
_atom_site_label
_atom_site_type_symbol
_atom_site_fract_x
_atom_site_fract_y
_atom_site_fract_z
Ti1 Ti 0.8279 0.7907 0.5494
F1 F 0.9532 0.7894 0.2861
Ta1 Ta 0.3211 0.5620 0.7820
Cs1 Cs 0.5924 0.4411 0.3289
H1 H 0.7436 0.6871 0.8254
Cs2 Cs 0.5029 0.0160 0.9581

Version two
# GGA-PBE Cs2TaTiHF, relaxed
# M_tot, μB per formula unit: 0.373
data_Cs2TaTiHF
_space_group_name_H-M_alt 'P 1'
_space_group_IT_number 1
_cell_length_a 3.3459
_cell_length_b 7.2093
_cell_length_c 7.4041
_cell_angle_alpha 71.96
_cell_angle_beta 86.77
_cell_angle_gamma 89.66
loop_
_space_group_symop_operation_xyz
'x,y,z'
loop_
_atom_site_label
_atom_site_type_symbol
_atom_site_fract_x
_atom_site_fract_y
_atom_site_fract_z
Ta1 Ta 0.4001 0.4753 0.2668
Cs1 Cs 0.2908 0.6437 0.6929
Cs2 Cs 0.2671 0.0244 0.0094
H1 H 0.9100 0.3690 0.1752
Ti1 Ti 0.8475 0.2029 0.4365
F1 F 0.7980 0.9986 0.6892

The most stable of them is version one.

Version one
# GGA-PBE CsTcH3F, relaxed
# M_tot, μB per formula unit: 0.885
data_CsTcH3F
_space_group_name_H-M_alt 'P 1'
_space_group_IT_number 1
_cell_length_a 3.2880
_cell_length_b 3.2880
_cell_length_c 26.1005
_cell_angle_alpha 90.00
_cell_angle_beta 90.00
_cell_angle_gamma 120.00
loop_
_space_group_symop_operation_xyz
'x,y,z'
loop_
_atom_site_label
_atom_site_type_symbol
_atom_site_fract_x
_atom_site_fract_y
_atom_site_fract_z
Cs1 Cs 0.3333 0.6667 0.1042
H1 H 0.6667 0.3333 0.2647
H2 H 0.3333 0.6667 0.5980
Tc1 Tc 0.0000 0.0000 0.5750
H3 H 0.0000 0.0000 0.2195
H4 H 0.0000 0.0000 0.6376
Cs2 Cs 0.0000 0.0000 0.4376
F1 F 0.3333 0.6667 0.3707
Tc2 Tc 0.6667 0.3333 0.9083
H5 H 0.6667 0.3333 0.5528
H6 H 0.3333 0.6667 0.8861
Tc3 Tc 0.3333 0.6667 0.2416
F2 F 0.6667 0.3333 0.0373
H7 H 0.0000 0.0000 0.9313
Cs3 Cs 0.6667 0.3333 0.7709
H8 H 0.3333 0.6667 0.3042
F3 F 0.0000 0.0000 0.7040
H9 H 0.6667 0.3333 0.9709

Version two
# GGA-PBE CsTcH3F, relaxed
# M_tot, μB per formula unit: 1.645
data_CsTcH3F
_space_group_name_H-M_alt 'P 1'
_space_group_IT_number 1
_cell_length_a 3.4440
_cell_length_b 3.4580
_cell_length_c 7.6862
_cell_angle_alpha 90.33
_cell_angle_beta 90.13
_cell_angle_gamma 119.38
loop_
_space_group_symop_operation_xyz
'x,y,z'
loop_
_atom_site_label
_atom_site_type_symbol
_atom_site_fract_x
_atom_site_fract_y
_atom_site_fract_z
Cs1 Cs 0.6304 0.2186 0.3486
Tc1 Tc 0.9672 0.8838 0.8209
H1 H 0.9694 0.8876 0.6029
H2 H 0.2628 0.5041 0.8212
F1 F 0.9612 0.8760 0.1036
H3 H 0.5965 0.1645 0.8176

The most stable of them is version two.

Version one
# GGA-PBE CsTcH3F, relaxed
# M_tot, μB per formula unit: 2.000
data_CsTcH3F
_space_group_name_H-M_alt 'P 1'
_space_group_IT_number 1
_cell_length_a 3.5329
_cell_length_b 3.5353
_cell_length_c 6.9196
_cell_angle_alpha 90.00
_cell_angle_beta 89.99
_cell_angle_gamma 90.00
loop_
_space_group_symop_operation_xyz
'x,y,z'
loop_
_atom_site_label
_atom_site_type_symbol
_atom_site_fract_x
_atom_site_fract_y
_atom_site_fract_z
F1 F 0.0779 0.4806 0.1507
Tc1 Tc 0.0776 0.4804 0.8446
H1 H 0.0777 0.4806 0.6020
Cs1 Cs 0.5779 0.9806 0.3710
H2 H 0.0768 0.9805 0.7735
H3 H 0.5776 0.4796 0.7730

Version two
# GGA-PBE CsTcH3F, relaxed
# M_tot, μB per formula unit: 0.000
data_CsTcH3F
_space_group_name_H-M_alt 'P 1'
_space_group_IT_number 1
_cell_length_a 4.5819
_cell_length_b 3.1431
_cell_length_c 12.5635
_cell_angle_alpha 90.00
_cell_angle_beta 93.64
_cell_angle_gamma 90.00
loop_
_space_group_symop_operation_xyz
'x,y,z'
loop_
_atom_site_label
_atom_site_type_symbol
_atom_site_fract_x
_atom_site_fract_y
_atom_site_fract_z
H1 H 0.8488 0.5000 0.0685
H2 H 0.8488 0.0000 0.5685
H3 H 0.6850 0.5000 0.6189
F1 F 0.1118 0.5000 0.4383
Tc1 Tc 0.0326 0.0000 0.0975
Cs1 Cs 0.5906 0.0000 0.3552
Tc2 Tc 0.0326 0.5000 0.5975
F2 F 0.1118 0.0000 0.9383
H4 H 0.1967 0.5000 0.1642
H5 H 0.6850 0.0000 0.1189
Cs2 Cs 0.5906 0.5000 0.8552
H6 H 0.1967 0.0000 0.6642

The most stable of them is version one.

Version one
# GGA-PBE CsHfF2, relaxed
# M_tot, μB per formula unit: 0.000
data_CsHfF2
_space_group_name_H-M_alt 'P 1'
_space_group_IT_number 1
_cell_length_a 4.8187
_cell_length_b 4.8187
_cell_length_c 4.8187
_cell_angle_alpha 60.00
_cell_angle_beta 60.00
_cell_angle_gamma 60.00
loop_
_space_group_symop_operation_xyz
'x,y,z'
loop_
_atom_site_label
_atom_site_type_symbol
_atom_site_fract_x
_atom_site_fract_y
_atom_site_fract_z
F1 F 0.2500 0.2500 0.2500
Cs1 Cs 0.0000 0.0000 0.0000
F2 F 0.7500 0.7500 0.7500
Hf1 Hf 0.5000 0.5000 0.5000

Version two
# GGA-PBE CsHfF2, relaxed
# M_tot, μB per formula unit: 0.120
data_CsHfF2
_space_group_name_H-M_alt 'P 1'
_space_group_IT_number 1
_cell_length_a 8.1431
_cell_length_b 8.1431
_cell_length_c 8.1431
_cell_angle_alpha 26.55
_cell_angle_beta 26.55
_cell_angle_gamma 26.55
loop_
_space_group_symop_operation_xyz
'x,y,z'
loop_
_atom_site_label
_atom_site_type_symbol
_atom_site_fract_x
_atom_site_fract_y
_atom_site_fract_z
Hf1 Hf 0.0000 0.0000 0.0000
F1 F 0.0858 0.0858 0.0858
F2 F 0.9142 0.9142 0.9142
Cs1 Cs 0.5000 0.5000 0.5000

The most stable of them is version two.